CrSn2GeTe | PBE | relaxed

a = 5.443 Å, b = 5.443 Å, c = 4.633 Å
α = 90.00°, β = 90.00°, γ = 90.00°
Space group P4/mmm (No. 123)
Unique sites:
Cr: 0.000 0.000 0.000 [1 per cell]
Sn: 0.000 0.500 0.500 [2 per cell]
Ge: 0.000 0.000 0.500 [1 per cell]
Te: 0.500 0.500 0.000 [1 per cell]

Output
Formation energy without anion corrections   0.80 eV/atom